Model one:
Entry from Alexandria via LeMat-Bulk: Sc2BRuPb after structural relaxation (GGA-PBE).

POSCAR file:
```
Sc2BRuPb
1.0
-1.8243 0.4524 -4.5182
-4.7568 0.0563 1.9263
0.2194 4.8723 0.3993
B Pb Ru Sc
1 1 1 2
Direct
0.5000 0.5000 0.5000 B
0.0000 0.5000 0.0000 Pb
0.0000 0.0000 0.0000 Ru
0.0000 0.0000 0.5000 Sc
0.5000 0.0000 0.0000 Sc
```



Model two:
Entry from Alexandria via LeMat-Bulk: Sc2BRuPb after structural relaxation (GGA-PBE).

POSCAR file:
```
Sc2BRuPb
1.0
4.7073 0.0000 0.0000
0.0000 4.7073 0.0000
0.0000 0.0000 4.0897
Pb Sc B Ru
1 2 1 1
Direct
0.5000 0.5000 0.5000 Pb
0.5000 0.0000 0.0000 Sc
0.0000 0.5000 0.0000 Sc
0.0000 0.0000 0.0000 B
0.0000 0.0000 0.5000 Ru
```



Among the structures above, stability is greatest for model two.